A relaxed Sm8GaIr3Br4 crystal. Source: Alexandria, functional GGA-PBE.

Cell lengths 8.3288, 8.3288, 22.9704 Å; angles 90.00, 90.00, 120.00 degrees
Closest atoms and distances in Å follow each position.
Space group R-3m (No. 166, hexagonal axes)
One atom of each set of equivalent atoms:
Sm: 0.0000 0.0000 0.2327 [6 per cell]  3 Ir 2.84
Sm: 0.0141 0.5070 0.7675 [18 per cell]  2 Ir 2.80, 1 Ga 2.93
Ga: 0.0000 0.0000 0.5000 [3 per cell]  6 Sm 2.93
Ir: 0.0000 0.5000 0.5000 [9 per cell]  6 Sm 2.80-2.84
Br: 0.0000 0.0000 0.0000 [3 per cell]  6 Sm 3.27
Br: 0.0000 0.5000 0.0000 [9 per cell]  6 Sm 3.34-3.38

Output
Raw formation energy = -1.026 eV/atom